Record 1
VASP calculation (PBE-GGA) on Ac2La5Pm2 after structural relaxation.

Calculated values
Energy relative to the elements ... 0.018 eV/atom
D(E_F) ... 1.554 states/eV per atom

Unit cell a=3.815 b=10.145 c=10.823 alpha=57.16 beta=100.15 gamma=90.00
Positions (direct):
Ac 0.480 0.709 0.959
Ac 0.520 0.291 0.041
La 0.668 0.669 0.337
La 0.332 0.331 0.663
La 0.848 0.631 0.695
La 0.152 0.369 0.305
La 0.000 0.000 0.000
Pm 0.813 0.040 0.626
Pm 0.187 0.960 0.374

---

Record 2
VASP calculation (PBE-GGA) on Ac6La2Pm5 after structural relaxation.

Calculated values
Energy relative to the elements ... 0.143 eV/atom
D(E_F) ... 1.542 states/eV per atom

Unit cell a=3.794 b=11.547 c=23.869 alpha=90.00 beta=90.00 gamma=90.00
Positions (direct):
Ac 0.000 0.144 0.385
Ac 0.000 0.856 0.615
Ac 0.000 0.644 0.115
Ac 0.000 0.356 0.885
Ac 0.500 0.334 0.131
Ac 0.500 0.666 0.869
Ac 0.500 0.834 0.369
Ac 0.500 0.166 0.631
Ac 0.000 0.523 0.390
Ac 0.000 0.477 0.610
Ac 0.000 0.023 0.110
Ac 0.000 0.977 0.890
La 0.000 0.338 0.270
La 0.000 0.662 0.730
La 0.000 0.838 0.230
La 0.000 0.162 0.770
Pm 0.500 0.331 0.495
Pm 0.500 0.669 0.505
Pm 0.500 0.831 0.005
Pm 0.500 0.169 0.995
Pm 0.500 0.589 0.252
Pm 0.500 0.411 0.748
Pm 0.500 0.089 0.248
Pm 0.500 0.911 0.752
Pm 0.500 0.500 0.000
Pm 0.500 0.000 0.500

---

Record 3
VASP calculation (PBE-GGA) on Ac6La3Pm2 after structural relaxation.

Calculated values
Energy relative to the elements ... 0.179 eV/atom
D(E_F) ... 1.749 states/eV per atom

Unit cell a=6.717 b=6.728 c=12.296 alpha=84.73 beta=79.40 gamma=60.05
Positions (direct):
Ac 0.420 0.667 0.742
Ac 0.752 0.000 0.742
Ac 0.087 0.333 0.742
Ac 0.248 0.000 0.258
Ac 0.580 0.333 0.258
Ac 0.913 0.667 0.258
La 0.000 0.000 0.000
La 0.334 0.333 0.000
La 0.666 0.667 0.000
Pm 0.166 0.667 0.500
Pm 0.834 0.333 0.500

---

Record 4
VASP calculation (PBE-GGA) on Ac3La2Pm4 after structural relaxation.

Calculated values
Energy relative to the elements ... 0.033 eV/atom
D(E_F) ... 1.750 states/eV per atom

Unit cell a=5.386 b=8.467 c=8.426 alpha=72.80 beta=71.26 gamma=89.99
Positions (direct):
Ac 0.556 0.334 0.887
Ac 0.000 0.000 0.000
Ac 0.444 0.666 0.113
La 0.775 0.670 0.449
La 0.225 0.330 0.551
Pm 0.329 0.002 0.341
Pm 0.885 0.331 0.229
Pm 0.115 0.669 0.771
Pm 0.671 0.998 0.659

---

Record 5
VASP calculation (PBE-GGA) on Ac3La4Pm4 after structural relaxation.

Calculated values
Energy relative to the elements ... 0.036 eV/atom
D(E_F) ... 1.670 states/eV per atom

Unit cell a=3.739 b=5.960 c=19.128 alpha=81.08 beta=84.36 gamma=89.99
Positions (direct):
Ac 0.138 0.637 0.726
Ac 0.862 0.363 0.274
Ac 0.000 0.000 0.000
La 0.592 0.092 0.816
La 0.266 0.266 0.468
La 0.734 0.734 0.532
La 0.408 0.908 0.184
Pm 0.546 0.546 0.909
Pm 0.454 0.454 0.091
Pm 0.318 0.817 0.365
Pm 0.683 0.183 0.635

---

Record 6
VASP calculation (PBE-GGA) on Ac2LaPm after structural relaxation.

Calculated values
Energy relative to the elements ... 0.021 eV/atom
D(E_F) ... 1.636 states/eV per atom
Energy above the lowest structure with this stoichiometry ... 0 meV per atom

Unit cell a=5.361 b=5.459 c=5.459 alpha=90.00 beta=90.00 gamma=90.00
Positions (direct):
Ac 0.000 0.000 0.500
Ac 0.000 0.500 0.000
La 0.500 0.000 0.000
Pm 0.500 0.500 0.500

---

Record 7
VASP calculation (PBE-GGA) on Ac12LaPm5 after structural relaxation.

Calculated values
Energy relative to the elements ... 0.046 eV/atom
D(E_F) ... 1.679 states/eV per atom

Unit cell a=11.884 b=11.767 c=6.265 alpha=90.00 beta=90.00 gamma=59.67
Positions (direct):
Ac 0.811 0.052 0.500
Ac 0.137 0.052 0.500
Ac 0.687 0.950 0.000
Ac 0.364 0.950 0.000
Ac 0.355 0.615 0.000
Ac 0.030 0.615 0.000
Ac 0.020 0.284 0.000
Ac 0.696 0.284 0.000
Ac 0.470 0.384 0.500
Ac 0.803 0.718 0.500
Ac 0.146 0.384 0.500
Ac 0.479 0.718 0.500
La 0.031 0.938 0.000
Pm 0.470 0.060 0.500
Pm 0.138 0.725 0.500
Pm 0.803 0.394 0.500
Pm 0.696 0.607 0.000
Pm 0.363 0.273 0.000

---

Record 8
VASP calculation (PBE-GGA) on Ac4La2Pm after structural relaxation.

Calculated values
Energy relative to the elements ... 0.198 eV/atom
D(E_F) ... 1.887 states/eV per atom

Unit cell a=3.769 b=6.313 c=12.732 alpha=104.35 beta=90.00 gamma=90.00
Positions (direct):
Ac 0.500 0.636 0.272
Ac 0.000 0.922 0.844
Ac 0.500 0.364 0.728
Ac 0.000 0.078 0.156
Pm 0.000 0.500 0.000
La 0.500 0.216 0.433
La 0.500 0.784 0.567

---

Record 9
VASP calculation (PBE-GGA) on AcLa5Pm6 after structural relaxation.

Calculated values
Energy relative to the elements ... 0.014 eV/atom
D(E_F) ... 1.535 states/eV per atom

Unit cell a=6.458 b=6.468 c=12.209 alpha=84.92 beta=79.79 gamma=60.05
Positions (direct):
Ac 0.000 0.000 0.000
Pm 0.582 0.335 0.252
Pm 0.083 0.335 0.748
Pm 0.748 0.000 0.748
Pm 0.252 0.000 0.252
Pm 0.917 0.665 0.252
Pm 0.418 0.665 0.748
La 0.167 0.666 0.500
La 0.333 0.333 0.000
La 0.500 0.000 0.500
La 0.667 0.667 0.000
La 0.833 0.334 0.500

---

Record 10
VASP calculation (PBE-GGA) on AcLa3Pm after structural relaxation.

Calculated values
Energy relative to the elements ... 0.024 eV/atom
D(E_F) ... 2.030 states/eV per atom
Energy above the lowest structure with this stoichiometry ... 0 meV per atom

Unit cell a=5.321 b=6.535 c=11.929 alpha=90.09 beta=90.00 gamma=114.02
Positions (direct):
Ac 0.048 0.095 0.846
Ac 0.952 0.905 0.154
La 0.748 0.496 0.745
La 0.252 0.504 0.255
La 0.653 0.306 0.051
La 0.347 0.694 0.949
La 0.850 0.700 0.453
La 0.150 0.300 0.547
Pm 0.447 0.894 0.645
Pm 0.553 0.106 0.355

---

Record 11
VASP calculation (PBE-GGA) on AcLa5Pm4 after structural relaxation.

Calculated values
Energy relative to the elements ... 0.319 eV/atom
D(E_F) ... 1.687 states/eV per atom
Energy above the lowest structure with this stoichiometry ... 294 meV per atom

Unit cell a=11.637 b=6.966 c=9.527 alpha=90.00 beta=90.00 gamma=90.00
Positions (direct):
Ac 0.835 0.000 0.000
Ac 0.165 0.500 0.500
La 0.282 0.749 0.819
La 0.282 0.251 0.819
La 0.784 0.500 0.000
La 0.282 0.749 0.181
La 0.282 0.251 0.181
La 0.718 0.751 0.319
La 0.718 0.249 0.319
La 0.216 0.000 0.500
La 0.718 0.249 0.681
La 0.718 0.751 0.681
Pm 0.993 0.000 0.690
Pm 0.541 0.754 0.000
Pm 0.541 0.246 0.000
Pm 0.993 0.000 0.310
Pm 0.007 0.500 0.190
Pm 0.459 0.746 0.500
Pm 0.459 0.254 0.500
Pm 0.007 0.500 0.810

---

Record 12
VASP calculation (PBE-GGA) on Ac6LaPm2 after structural relaxation.

Calculated values
Energy relative to the elements ... 0.400 eV/atom
D(E_F) ... 1.648 states/eV per atom
Energy above the lowest structure with this stoichiometry ... 324 meV per atom

Unit cell a=7.042 b=7.042 c=9.810 alpha=90.00 beta=90.00 gamma=120.00
Positions (direct):
Ac 0.355 0.355 0.795
Ac 0.645 0.000 0.795
Ac 0.000 0.645 0.795
Ac 0.355 0.000 0.205
Ac 0.000 0.355 0.205
Ac 0.645 0.645 0.205
La 0.000 0.000 0.000
Pm 0.667 0.333 0.500
Pm 0.333 0.667 0.500

---

Record 13
VASP calculation (PBE-GGA) on Ac12La7Pm after structural relaxation.

Calculated values
Energy relative to the elements ... 0.179 eV/atom
D(E_F) ... 1.380 states/eV per atom
Energy above the lowest structure with this stoichiometry ... 0 meV per atom

Unit cell a=12.332 b=12.332 c=12.332 alpha=116.77 beta=116.77 gamma=116.77
Positions (direct):
Ac 0.087 0.499 0.911
Ac 0.501 0.089 0.913
Ac 0.429 0.080 0.428
Ac 0.920 0.572 0.571
Ac 0.089 0.913 0.501
Ac 0.572 0.571 0.920
Ac 0.428 0.429 0.080
Ac 0.911 0.087 0.499
Ac 0.080 0.428 0.429
Ac 0.571 0.920 0.572
Ac 0.499 0.911 0.087
Ac 0.913 0.501 0.089
La 0.883 0.637 0.882
La 0.363 0.118 0.117
La 0.118 0.117 0.363
La 0.500 0.500 0.500
La 0.882 0.883 0.637
La 0.637 0.882 0.883
La 0.117 0.363 0.118
Pm 0.000 0.000 0.000

---

Record 14
VASP calculation (PBE-GGA) on Ac7La2Pm after structural relaxation.

Calculated values
Energy relative to the elements ... 0.588 eV/atom
D(E_F) ... 1.639 states/eV per atom

Unit cell a=6.038 b=9.785 c=9.785 alpha=61.78 beta=90.00 gamma=90.00
Positions (direct):
Ac 0.000 0.238 0.238
Ac 0.000 0.762 0.762
Ac 0.500 0.935 0.306
Ac 0.500 0.065 0.694
Ac 0.500 0.694 0.065
Ac 0.500 0.306 0.935
Ac 0.500 0.500 0.500
La 0.500 0.299 0.299
La 0.500 0.701 0.701
Pm 0.000 0.000 0.000

---

Record 15
VASP calculation (PBE-GGA) on AcLa6Pm2 after structural relaxation.

Calculated values
Energy relative to the elements ... 0.042 eV/atom
D(E_F) ... 1.562 states/eV per atom
Energy above the lowest structure with this stoichiometry ... 0 meV per atom

Unit cell a=3.637 b=10.283 c=10.283 alpha=59.83 beta=89.93 gamma=89.93
Positions (direct):
Ac 0.000 0.000 0.000
La 0.501 0.999 0.338
La 0.499 0.001 0.662
La 0.499 0.662 0.001
La 0.500 0.336 0.664
La 0.500 0.664 0.336
La 0.501 0.338 0.999
Pm 0.000 0.333 0.333
Pm 0.000 0.667 0.667

---

Record 16
VASP calculation (PBE-GGA) on Ac7La12Pm after structural relaxation.

Calculated values
Energy relative to the elements ... 0.245 eV/atom
D(E_F) ... 1.305 states/eV per atom

Unit cell a=6.708 b=11.997 c=11.997 alpha=116.61 beta=100.74 gamma=100.74
Positions (direct):
Ac 0.121 0.742 0.000
Ac 0.879 0.000 0.258
Ac 0.621 0.742 0.742
Ac 0.500 0.000 0.000
Ac 0.379 0.258 0.258
Ac 0.121 0.000 0.742
Ac 0.879 0.258 0.000
La 0.097 0.595 0.191
La 0.094 0.191 0.596
La 0.578 0.637 0.001
La 0.423 0.001 0.363
La 0.499 0.404 0.595
La 0.060 0.637 0.637
La 0.940 0.363 0.363
La 0.501 0.596 0.405
La 0.577 0.999 0.637
La 0.422 0.363 0.999
La 0.906 0.809 0.404
La 0.903 0.405 0.809
Pm 0.000 0.000 0.000

---

Record 17
VASP calculation (PBE-GGA) on AcLa6Pm12 after structural relaxation.

Calculated values
Energy relative to the elements ... 0.185 eV/atom
D(E_F) ... 1.872 states/eV per atom

Unit cell a=9.032 b=9.032 c=9.032 alpha=99.48 beta=99.48 gamma=99.48
Positions (direct):
Ac 0.000 0.000 0.000
La 0.902 0.348 0.902
La 0.902 0.902 0.348
La 0.348 0.902 0.902
La 0.098 0.098 0.652
La 0.098 0.652 0.098
La 0.652 0.098 0.098
Pm 0.756 0.244 0.500
Pm 0.355 0.079 0.355
Pm 0.355 0.355 0.079
Pm 0.921 0.645 0.645
Pm 0.645 0.645 0.921
Pm 0.645 0.921 0.645
Pm 0.500 0.756 0.244
Pm 0.244 0.500 0.756
Pm 0.244 0.756 0.500
Pm 0.500 0.244 0.756
Pm 0.756 0.500 0.244
Pm 0.079 0.355 0.355

---

Record 18
VASP calculation (PBE-GGA) on AcLa7Pm2 after structural relaxation.

Calculated values
Energy relative to the elements ... 0.157 eV/atom
D(E_F) ... 1.663 states/eV per atom
Energy above the lowest structure with this stoichiometry ... 0 meV per atom

Unit cell a=5.770 b=7.868 c=9.728 alpha=113.85 beta=72.77 gamma=90.00
Positions (direct):
Ac 0.000 0.000 0.000
La 0.848 0.652 0.304
La 0.152 0.348 0.696
La 0.630 0.669 0.740
La 0.370 0.331 0.260
La 0.370 0.929 0.260
La 0.630 0.071 0.740
La 0.500 0.500 0.000
Pm 0.214 0.786 0.572
Pm 0.786 0.214 0.428

---

Record 19
VASP calculation (PBE-GGA) on Ac2LaPm4 after structural relaxation.

Calculated values
Energy relative to the elements ... 0.278 eV/atom
D(E_F) ... 1.683 states/eV per atom
Energy above the lowest structure with this stoichiometry ... 0 meV per atom

Unit cell a=8.898 b=8.889 c=8.902 alpha=109.58 beta=109.15 gamma=109.57
Positions (direct):
Ac 0.375 0.865 0.741
Ac 0.491 0.365 0.625
Ac 0.874 0.135 0.509
Ac 0.260 0.635 0.125
Pm 0.796 0.256 0.891
Pm 0.955 0.595 0.710
Pm 0.634 0.744 0.539
Pm 0.116 0.405 0.360
Pm 0.460 0.095 0.205
Pm 0.641 0.756 0.046
Pm 0.289 0.244 0.884
Pm 0.110 0.905 0.366
La 0.750 0.500 0.250
La 0.000 0.000 0.000

---

Record 20
VASP calculation (PBE-GGA) on AcLaPm2 after structural relaxation.

Calculated values
Energy relative to the elements ... 0.022 eV/atom
D(E_F) ... 1.619 states/eV per atom
Energy above the lowest structure with this stoichiometry ... 0 meV per atom

Unit cell a=5.242 b=5.335 c=5.335 alpha=90.00 beta=90.00 gamma=90.00
Positions (direct):
Ac 0.500 0.500 0.500
La 0.500 0.000 0.000
Pm 0.000 0.000 0.500
Pm 0.000 0.500 0.000

---

Final energy / eV/atom: -4.69, -4.34, -4.27, -4.54, -4.60, -4.45, -4.29, -4.24, -4.76, -4.70, -4.46, -3.94, -4.25, -3.75, -4.76, -4.39, -4.59, -4.65, -4.31, -4.61